A geometry-optimized KSi2Ag structure. Source: Alexandria via LeMat-Bulk, functional PBE.

Geometry as POSCAR:
```
KSi2Ag
1.0
6.187 -0.042 0.038
2.760 5.538 -0.038
-3.409 -4.481 2.566
Si Ag K
2 1 1
Cartesian
8.638 5.306 0.000 Si
4.783 2.938 0.000 Si
3.626 -0.887 1.302 Ag
1.912 1.902 1.264 K
```

The calculation puts the formation energy without anion corrections at 41.9 kJ/mol of atoms. The calculation puts the energy above the lowest structure with this stoichiometry at 277 meV/atom. As for the crystal system: orthorhombic.

***

A geometry-optimized LiNdAgSn structure. Source: Alexandria via LeMat-Bulk, functional PBE.

Geometry as POSCAR:
```
LiNdAgSn
1.0
-0.639 -3.383 -3.596
3.310 -3.673 -0.578
-1.241 -4.676 1.173
Nd Sn Ag Li
1 1 1 1
Cartesian
1.073 -8.799 -2.251 Nd
0.358 -2.933 -0.750 Sn
0.715 -5.866 -1.500 Ag
0.000 0.000 0.000 Li
```

For the formation energy from the elements, the calculation gives -1.7 eV per formula unit. As for the crystal system: cubic.

***

A geometry-optimized PrPaGa4 structure. Source: Alexandria via LeMat-Bulk, functional PBE.

Geometry as POSCAR:
```
PrPaGa4
1.0
-2.009 0.989 3.486
3.511 -0.819 2.256
2.133 7.033 -0.767
Pa Pr Ga
1 1 4
Cartesian
0.062 4.011 1.359 Pa
0.751 0.085 2.871 Pr
0.363 1.197 -0.131 Ga
1.770 5.837 -0.637 Ga
3.170 4.256 0.619 Ga
2.474 1.958 0.870 Ga
```

For the formation energy from the elements, the calculation gives -3.0 eV per formula unit. The calculation puts the energy above the lowest structure with this stoichiometry at 0 meV/atom. As for the crystal system: orthorhombic.

***

A geometry-optimized SiTc2Pb structure. Source: Alexandria via LeMat-Bulk, functional PBE.

Geometry as POSCAR:
```
SiTc2Pb
1.0
-1.263 -2.071 4.598
-2.555 -2.527 -3.758
1.138 -2.814 -0.022
Tc Pb Si
2 1 1
Cartesian
0.000 0.000 0.000 Tc
-1.909 -2.299 0.420 Tc
-0.063 -2.443 2.288 Pb
-0.708 -2.670 -1.890 Si
```

The calculation puts the formation energy without anion corrections at 59.1 kJ/mol of atoms. The calculation puts the energy above the lowest structure with this stoichiometry at 439 meV/atom. As for the crystal system: monoclinic.

***

A geometry-optimized AcLaTbTh structure. Source: Alexandria via LeMat-Bulk, functional PBE.

Geometry as POSCAR:
```
AcLaTbTh
1.0
3.693 0.000 0.000
0.000 3.693 0.000
0.000 0.000 10.641
Tb Th La Ac
1 1 1 1
Cartesian
1.846 1.846 3.652 Tb
0.000 0.000 6.026 Th
1.846 1.846 8.467 La
0.000 0.000 0.846 Ac
```

For the formation energy from the elements, the calculation gives 0.2 eV per formula unit. The calculation puts the energy above the lowest structure with this stoichiometry at 0 meV/atom. As for the crystal system: tetragonal.

***

A geometry-optimized Ba2Hg15Bi2 structure. Source: Alexandria via LeMat-Bulk, functional PBE.

Geometry as POSCAR:
```
Ba2Hg15Bi2
1.0
8.634 0.924 0.823
2.036 8.441 0.823
2.036 1.787 8.291
Hg Bi Ba
15 2 2
Cartesian
8.761 4.987 4.444 Hg
6.624 3.112 5.493 Hg
1.018 0.893 4.145 Hg
6.701 1.177 3.011 Hg
3.969 6.239 0.823 Hg
6.624 5.814 2.461 Hg
3.945 6.165 5.493 Hg
2.036 3.736 6.103 Hg
3.969 1.534 6.103 Hg
6.082 8.040 4.444 Hg
4.317 0.462 0.412 Hg
6.701 3.126 0.823 Hg
2.036 6.492 3.011 Hg
6.082 5.338 7.476 Hg
1.018 4.221 0.412 Hg
11.258 9.881 8.804 Bi
1.448 1.271 1.133 Bi
8.843 7.761 6.916 Ba
3.863 3.391 3.021 Ba
```

For the formation energy from the elements, the calculation gives -3.3 eV per formula unit. As for the crystal system: trigonal.

***

A geometry-optimized PaHg2Se2 structure. Source: Alexandria via LeMat-Bulk, functional PBE.

Geometry as POSCAR:
```
PaHg2Se2
1.0
4.153 0.000 0.000
-2.077 3.579 0.331
0.000 1.578 12.346
Hg Se Pa
2 2 1
Cartesian
0.000 1.861 7.504 Hg
2.077 3.296 5.174 Hg
2.077 1.049 1.659 Se
0.000 4.108 11.019 Se
0.000 0.000 0.000 Pa
```

The calculation puts the formation energy without anion corrections at -73.6 kJ/mol of atoms. As for the crystal system: monoclinic.

***

A geometry-optimized LiAlSi2HO7 structure. Source: Alexandria via LeMat-Bulk, functional PBE.

Geometry as POSCAR:
```
LiAlSi2HO7
1.0
3.303 -2.632 2.645
-3.621 -6.305 -1.990
6.370 2.533 -5.508
O Si Al H Li
14 4 2 2 2
Cartesian
3.423 -2.228 -6.601 O
3.733 -3.050 -3.597 O
2.027 -3.145 -0.794 O
1.891 -5.856 -4.288 O
4.954 -6.758 -3.961 O
3.885 -2.688 1.414 O
2.404 -2.488 -3.293 O
4.617 -0.709 -4.759 O
1.230 -5.002 0.887 O
-0.334 -4.336 -1.205 O
3.644 -0.901 -0.859 O
6.207 -1.623 -0.726 O
-2.128 -7.338 -0.876 O
1.879 -5.654 -1.637 O
1.570 -6.661 -2.898 Si
3.178 -3.775 -7.088 Si
1.196 -4.536 -0.678 Si
4.600 -1.132 -6.322 Si
2.757 -1.947 0.268 Al
4.601 0.763 -3.787 Al
2.284 -2.854 -2.357 H
4.170 -2.233 -3.978 H
2.310 -0.512 -2.291 Li
3.779 -5.053 -4.367 Li
```

The total energy comes out at -167.21 eV per cell. As for the crystal system: triclinic.

***

A geometry-optimized ScCd3Hg structure. Source: Alexandria via LeMat-Bulk, functional PBE.

Geometry as POSCAR:
```
ScCd3Hg
1.0
5.776 0.000 0.000
0.000 5.776 0.000
0.000 0.000 5.776
Hg Cd Sc
1 3 1
Cartesian
2.888 2.888 2.888 Hg
0.000 0.000 2.888 Cd
0.000 2.888 0.000 Cd
2.888 0.000 0.000 Cd
0.000 0.000 0.000 Sc
```

For the formation energy from the elements, the calculation gives 2.8 eV per formula unit. The calculation puts the energy above the lowest structure with this stoichiometry at 650 meV/atom. As for the crystal system: cubic.

***

A geometry-optimized MgAuCl2 structure. Source: Alexandria via LeMat-Bulk, functional PBE.

Geometry as POSCAR:
```
MgAuCl2
1.0
-3.044 -0.152 -0.896
0.826 -1.937 -2.480
-0.823 -9.821 4.465
Au Mg Cl
1 1 2
Cartesian
-1.520 -8.894 1.041 Au
-1.521 -3.015 0.048 Mg
0.061 -4.744 0.599 Cl
-0.059 -1.134 0.394 Cl
```

The calculation puts the formation energy without anion corrections at -75.8 kJ/mol of atoms. The calculation puts the energy above the lowest structure with this stoichiometry at 203 meV/atom. As for the crystal system: monoclinic.

***

A geometry-optimized ScMnI2 structure. Source: Alexandria via LeMat-Bulk, functional PBE.

Geometry as POSCAR:
```
ScMnI2
1.0
0.000 3.654 3.654
3.654 0.000 3.654
3.654 3.654 0.000
I Mn Sc
2 1 1
Cartesian
1.827 1.827 1.827 I
5.481 5.481 5.481 I
3.654 3.654 3.654 Mn
0.000 0.000 0.000 Sc
```

The calculation puts the formation energy without anion corrections at 0.0 kJ/mol of atoms. The calculation puts the energy above the lowest structure with this stoichiometry at 0 meV/atom. As for the crystal system: cubic.

***

A geometry-optimized Cd2AgSe structure. Source: Alexandria via LeMat-Bulk, functional PBE.

Geometry as POSCAR:
```
Cd2AgSe
1.0
5.007 -0.144 0.181
4.015 2.995 0.181
2.343 0.741 6.169
Cd Se Ag
2 1 1
Cartesian
2.656 0.839 1.575 Cd
2.506 0.792 6.041 Cd
5.166 1.633 3.011 Se
9.063 2.865 5.340 Ag
```

The calculation puts the formation energy without anion corrections at 0.1 kJ/mol of atoms. As for the crystal system: monoclinic.

***

no.,DOS at the Fermi energy (states/eV/cell)
1,1.42
2,1.71
3,4.57
4,3.77
5,5.56
6,10.32
7,5.61
8,0.00
9,8.00
10,0.58
11,1.42
12,1.15